Here is a relaxed BaAg2SnTeSe3 crystal from the Open Quantum Materials Database. Energies are from PBE.

```
data_BaAg2SnTeSe3
_cell_length_a 6.7835
_cell_length_b 6.7870
_cell_length_c 6.8560
_cell_angle_alpha 115.76
_cell_angle_beta 111.15
_cell_angle_gamma 101.32
_space_group_name_H-M_alt 'P 1'
_space_group_IT_number 1
loop_
_space_group_symop_operation_xyz
'x,y,z'
loop_
_atom_site_label
_atom_site_type_symbol
_atom_site_fract_x
_atom_site_fract_y
_atom_site_fract_z
Ba1 Ba 0.0000 0.0000 0.0000
Ag1 Ag 0.3333 0.8158 0.5068
Ag2 Ag 0.6774 0.1909 0.5115
Sn1 Sn 0.5247 0.5263 0.0313
Te1 Te 0.1330 0.1270 0.6019
Se1 Se 0.4925 0.8962 0.0293
Se2 Se 0.5372 0.5348 0.4141
Se3 Se 0.8802 0.4790 0.9971
```

Results
Calculated total energy: -3.83 eV/atom



Here is a relaxed BaTbAgSe3 crystal from the Open Quantum Materials Database. Energies are from PBE.

```
data_BaTbAgSe3
_cell_length_a 8.5806
_cell_length_b 4.2460
_cell_length_c 9.7145
_cell_angle_alpha 90.00
_cell_angle_beta 106.76
_cell_angle_gamma 90.00
_space_group_name_H-M_alt 'P 1 21/m 1'
_space_group_IT_number 11
loop_
_space_group_symop_operation_xyz
'x,y,z'
'-x,-y,-z'
'-x,y+1/2,-z'
'x,-y+1/2,z'
loop_
_atom_site_label
_atom_site_type_symbol
_atom_site_fract_x
_atom_site_fract_y
_atom_site_fract_z
Ba1 Ba 0.2160 0.2500 0.2574
Tb1 Tb 0.3167 0.7500 0.8420
Ag1 Ag 0.0872 0.2500 0.5929
Se1 Se 0.0955 0.2500 0.8695
Se2 Se 0.2575 0.7500 0.5337
Se3 Se 0.4493 0.7500 0.1507
```

Results
Calculated total energy: -4.86 eV/atom
Magnetization: 0.00 μB per cell



Here is a relaxed BaTbAgSe3 crystal from the Open Quantum Materials Database. Energies are from PBE.

```
data_BaTbAgSe3
_cell_length_a 18.3779
_cell_length_b 4.2341
_cell_length_c 8.8625
_cell_angle_alpha 90.00
_cell_angle_beta 102.64
_cell_angle_gamma 90.00
_space_group_name_H-M_alt 'C 1 2/m 1'
_space_group_IT_number 12
loop_
_space_group_symop_operation_xyz
'x,y,z'
'-x,-y,-z'
'-x,y,-z'
'x,-y,z'
'x+1/2,y+1/2,z'
'-x+1/2,-y+1/2,-z'
'-x+1/2,y+1/2,-z'
'x+1/2,-y+1/2,z'
loop_
_atom_site_label
_atom_site_type_symbol
_atom_site_fract_x
_atom_site_fract_y
_atom_site_fract_z
Ba1 Ba 0.1339 0.0000 0.0714
Tb1 Tb 0.1641 0.0000 0.5831
Ag1 Ag 0.0260 0.5000 0.7100
Se1 Se 0.0000 0.0000 0.5000
Se2 Se 0.0000 0.5000 0.0000
Se3 Se 0.1738 0.5000 0.3666
Se4 Se 0.1790 0.5000 0.8104
```

Results
Calculated total energy: -4.83 eV/atom
Magnetization: 0.01 μB per cell



Here is a relaxed BaTbAgTeSe2 crystal from the Open Quantum Materials Database. Energies are from PBE.

```
data_BaTbAgTeSe2
_cell_length_a 4.2643
_cell_length_b 15.0468
_cell_length_c 11.1385
_cell_angle_alpha 90.00
_cell_angle_beta 90.00
_cell_angle_gamma 90.00
_space_group_name_H-M_alt 'C m c m'
_space_group_IT_number 63
_space_group_name_Hall '-C 2c 2'
loop_
_atom_site_label
_atom_site_type_symbol
_atom_site_fract_x
_atom_site_fract_y
_atom_site_fract_z
Ba1 Ba 0.0000 0.2262 0.2500
Tb1 Tb 0.0000 0.0000 0.0000
Ag1 Ag 0.0000 0.4745 0.7500
Te1 Te 0.0000 0.0932 0.7500
Se1 Se 0.0000 0.3723 0.5565
```

Results
Calculated total energy: -4.67 eV/atom
Magnetization: 0.02 μB per cell